Below is a geometry-optimized BaErMn2O5 structure, with properties calculated at the PBE with a Hubbard U level.

Properties
* V: 245.3 Å³ per cell
* energy above the most stable polymorph in this dataset: 0 meV per atom
* theoretical density: 6.7 g/cm3
* E_tot: -0.5548 Ry per atom

Unit cell a=5.599 b=5.599 c=7.825 alpha=90.00 beta=90.00 gamma=90.00
Element x y z (fractional)
Ba 0.250 0.750 0.000
Ba 0.750 0.250 0.000
Er 0.250 0.750 0.500
Er 0.750 0.250 0.500
Mn 0.250 0.250 0.261
Mn 0.250 0.250 0.725
Mn 0.750 0.750 0.275
Mn 0.750 0.750 0.739
O 0.005 0.005 0.677
O 0.005 0.495 0.677
O 0.250 0.250 0.995
O 0.495 0.005 0.677
O 0.495 0.495 0.677
O 0.505 0.505 0.323
O 0.505 0.995 0.323
O 0.750 0.750 0.005
O 0.995 0.505 0.323
O 0.995 0.995 0.323